First-principles (GGA+U) data for an optimized crystal structure of Er6VO12, as listed in Alexandria via LeMat-Bulk.

POSCAR file:
```
Er6VO12
1.0
4.823 2.785 3.076
-4.823 2.785 3.076
0.000 -5.570 3.076
Er V O
6 1 12
Direct
0.113 0.799 0.639
0.201 0.361 0.887
0.361 0.887 0.201
0.639 0.113 0.799
0.799 0.639 0.113
0.887 0.201 0.361
0.500 0.500 0.500
0.061 0.912 0.322
0.088 0.678 0.939
0.202 0.431 0.536
0.322 0.061 0.912
0.431 0.536 0.202
0.464 0.798 0.569
0.536 0.202 0.431
0.569 0.464 0.798
0.678 0.939 0.088
0.798 0.569 0.464
0.912 0.322 0.061
0.939 0.088 0.678
```

Uncorrected energy in eV/atom: -8.16